Run A
VASP calculation (PBE) on a geometry-optimized BeCd3Te structure.

Properties
The total moment comes out at 0.0000 μB per atom. As for the density of states at the Fermi level: 3.68 states/eV/f.u.

Unit cell a=4.912 b=4.912 c=4.912 alpha=90.00 beta=90.00 gamma=90.00
Element x y z (fractional)
Be1 0.000 0.000 0.000
Te1 0.500 0.500 0.500
Cd1 0.000 0.500 0.000
Cd2 0.000 0.000 0.500
Cd3 0.500 0.000 0.000

=====

Run B
VASP calculation (PBE) on a geometry-optimized BeCd3Te structure.

Properties
The total moment comes out at 0.0000 μB per atom. As for the density of states at the Fermi level: 2.81 states/eV/f.u.

Unit cell a=5.850 b=5.850 c=5.850 alpha=90.00 beta=90.00 gamma=90.00
Element x y z (fractional)
Be1 0.500 0.500 0.500
Te1 0.000 0.000 0.000
Cd1 0.000 0.500 0.000
Cd2 0.000 0.000 0.500
Cd3 0.500 0.000 0.000

=====

Calculated relative energies: run A 0.000; run B 0.650, given in eV/atom

=====

Run A
VASP calculation (PBE) on a geometry-optimized Th2BeCd structure.

Properties
The total moment comes out at 0.0000 μB per atom. As for the density of states at the Fermi level: 3.78 states/eV/f.u.

Unit cell a=3.316 b=3.316 c=8.832 alpha=90.00 beta=90.00 gamma=90.00
Element x y z (fractional)
Be1 0.500 0.500 0.000
Th1 0.000 0.000 0.789
Th2 0.000 0.000 0.211
Cd1 0.500 0.500 0.500

=====

Run B
VASP calculation (PBE) on a geometry-optimized Th2BeCd structure.

Properties
The total moment comes out at 0.0000 μB per atom. As for the density of states at the Fermi level: 2.91 states/eV/f.u.

Unit cell a=3.309 b=3.309 c=11.778 alpha=81.92 beta=81.92 gamma=60.00
Element x y z (fractional)
Be1 0.000 0.000 0.000
Th1 0.085 0.085 0.744
Th2 0.915 0.915 0.256
Cd1 0.500 0.500 0.500

=====

Calculated relative energies: run A 0.000; run B 0.632, given in eV/atom